The following is a DFT calculation (PBEsol) of crystalline CeAl8Cu4 at its relaxed geometry.

Computed properties:
ΔE_f (meV/atom): -304
M_tot (Bohr magnetons per cell): 0.47
Total energy (eV per atom): -4.6632

Unit cell a=6.7133 b=6.7133 c=6.7133 alpha=98.22 beta=98.22 gamma=135.58
Fractional coordinates of all 13 atoms:
Ce 0.0000 0.0000 0.0000
Al 0.0000 0.3471 0.3471
Al 0.0000 0.6529 0.6529
Al 0.2803 0.5000 0.7803
Al 0.3471 0.0000 0.3471
Al 0.5000 0.2803 0.7803
Al 0.5000 0.7197 0.2197
Al 0.6529 0.0000 0.6529
Al 0.7197 0.5000 0.2197
Cu 0.0000 0.0000 0.5000
Cu 0.0000 0.5000 0.0000
Cu 0.5000 0.0000 0.0000
Cu 0.5000 0.5000 0.5000